Ca2ZnW | GGA-PBE | optimized geometry

Properties
volume: 24.22 Å³ per atom
calculated total energy: -15.10 eV for the cell shown
DOS at the Fermi energy: 3.60 states/eV/f.u.
space group: No. 123

a = 5.1461 Å, b = 5.1461 Å, c = 3.6581 Å
α = 90.00°, β = 90.00°, γ = 90.00°
Closest atoms and distances in Å follow each position.
Fractional coordinates of all 4 atoms:
1 Zn 0.0000 0.5000 0.5000  8 Ca 3.16
2 Ca 0.0000 0.0000 0.0000  4 W 3.16, 4 Zn 3.16
3 Ca 0.5000 0.5000 0.0000  4 Zn 3.16, 4 W 3.16
4 W 0.5000 0.0000 0.5000  8 Ca 3.16

=====

Ca2ZnW | GGA-PBE | optimized geometry

Properties
volume: 22.01 Å³ per atom
calculated total energy: -15.00 eV for the cell shown
DOS at the Fermi energy: 3.13 states/eV/f.u.
space group: No. 12

a = 5.5270 Å, b = 5.5270 Å, c = 5.4996 Å
α = 76.99°, β = 76.99°, γ = 32.63°
Closest atoms and distances in Å follow each position.
Fractional coordinates of all 4 atoms:
1 Zn 0.2500 0.2500 0.2500  6 Ca 3.05-3.34, 2 Zn 3.11, 4 W 3.16
2 Ca 0.9931 0.9931 0.9972  3 Zn 3.05-3.34, 6 Ca 3.10-3.22, 3 W 3.15-3.18
3 Ca 0.5069 0.5069 0.5028  3 Zn 3.05-3.34, 6 Ca 3.10-3.22, 3 W 3.15-3.18
4 W 0.7500 0.7500 0.7500  2 W 3.11, 6 Ca 3.15-3.18, 4 Zn 3.16

=====

Ca2ZnW | GGA-PBE | optimized geometry

Properties
volume: 22.56 Å³ per atom
calculated total energy: -14.98 eV for the cell shown
DOS at the Fermi energy: 3.00 states/eV/f.u.
space group: No. 216

a = 5.0348 Å, b = 5.0348 Å, c = 5.0348 Å
α = 60.00°, β = 60.00°, γ = 60.00°
Closest atoms and distances in Å follow each position.
Fractional coordinates of all 4 atoms:
1 Zn 0.7500 0.7500 0.7500  4 W 3.08, 4 Ca 3.08
2 Ca 0.0000 0.0000 0.0000  4 Ca 3.08, 4 Zn 3.08
3 Ca 0.2500 0.2500 0.2500  4 W 3.08, 4 Ca 3.08
4 W 0.5000 0.5000 0.5000  4 Zn 3.08, 4 Ca 3.08

=====

Ca2ZnW | GGA-PBE | optimized geometry

Properties
volume: 23.21 Å³ per atom
calculated total energy: -16.02 eV for the cell shown
DOS at the Fermi energy: 4.38 states/eV/f.u.
space group: No. 44

a = 6.3293 Å, b = 6.3293 Å, c = 6.3293 Å
α = 151.10°, β = 130.24°, γ = 58.57°
Closest atoms and distances in Å follow each position.
Fractional coordinates of all 4 atoms:
1 Zn 0.2759 0.7759 0.5000  2 W 2.61
2 Ca 0.0284 0.0284 0.0000  2 Zn 3.16, 4 Ca 3.16-3.48, 4 W 3.18
3 Ca 0.7319 0.2319 0.5000  4 Zn 3.13, 4 Ca 3.16-3.48, 2 W 3.36
4 W 0.4637 0.4637 0.0000  2 Zn 2.61

=====

Ca2ZnW | GGA-PBE | optimized geometry

Properties
volume: 22.77 Å³ per atom
calculated total energy: -15.03 eV for the cell shown
DOS at the Fermi energy: 3.05 states/eV/f.u.
space group: No. 119

a = 5.4514 Å, b = 5.4514 Å, c = 5.4514 Å
α = 130.68°, β = 130.68°, γ = 72.33°
Closest atoms and distances in Å follow each position.
Fractional coordinates of all 4 atoms:
1 Zn 0.7500 0.2500 0.5000  4 W 3.16, 8 Ca 3.16-3.22
2 Ca 0.0000 0.0000 0.0000  4 Zn 3.16, 4 Ca 3.16, 4 W 3.22
3 Ca 0.2500 0.7500 0.5000  4 W 3.16, 4 Ca 3.16, 4 Zn 3.22
4 W 0.5000 0.5000 0.0000  8 Ca 3.16-3.22, 4 Zn 3.16

=====

CaZnW4 | GGA-PBE | optimized geometry

Properties
volume: 18.78 Å³ per atom
calculated total energy: -51.11 eV for the cell shown
DOS at the Fermi energy: 7.68 states/eV/f.u.
space group: No. 216

a = 5.4219 Å, b = 5.4219 Å, c = 5.4219 Å
α = 60.00°, β = 60.00°, γ = 60.00°
Closest atoms and distances in Å follow each position.
Fractional coordinates of all 6 atoms:
1 Ca 0.0000 0.0000 0.0000  12 W 3.18, 4 Zn 3.32
2 Zn 0.7500 0.7500 0.7500  12 W 3.18, 4 Ca 3.32
3 W 0.8750 0.3750 0.3750  6 W 2.71
4 W 0.3750 0.3750 0.8750  6 W 2.71
5 W 0.3750 0.8750 0.3750  6 W 2.71
6 W 0.3750 0.3750 0.3750  6 W 2.71